The following is a DFT calculation (PBE-GGA) of a geometry-optimized PuSbTe2 structure.

Geometry as extended XYZ:
```
4
Lattice="2.1046 1.2151 9.8580 -2.1046 1.2151 9.8580 0.0000 -2.4302 9.8580" Properties=species:S:1:pos:R:3 pbc="T T T"
Pu 0.0000 0.0000 0.0000
Sb 0.0000 0.0000 14.7870
Te 0.0000 0.0000 3.0830
Te 0.0000 0.0000 26.4910
```

Output
* ΔE_f (raw): 0.08 eV/atom
* space-group type: R-3m (166)

The following is a DFT calculation (PBE-GGA) of a geometry-optimized Er6IrS5 structure.

Geometry as extended XYZ:
```
12
Lattice="3.4061 -5.8932 0.0000 3.4061 5.8932 0.0000 -2.2719 0.0000 6.3701" Properties=species:S:1:pos:R:3 pbc="T T T"
Er 1.1078 1.9268 1.5510
Er -0.0446 0.0000 4.7987
Er 1.1078 -1.9268 1.5510
Er 3.4324 1.9268 4.8191
Er 4.5848 0.0000 1.5714
Er 3.4324 -1.9268 4.8191
Ir 0.0000 0.0000 0.0000
S 2.2701 3.8570 3.1851
S 3.4061 1.9554 0.0000
S 2.2701 0.0000 3.1851
S 3.4061 -1.9554 0.0000
S 2.2701 -3.8570 3.1851
```

Output
* ΔE_f (raw): -1.77 eV/atom
* space-group type: C2/m (12)